Record 1
The following is a GGA-PBE calculation of an optimized crystal structure of Tb4FeHg, from Alexandria via LeMat-Bulk.

Summary:
Its volume is 26.49 A^3/atom. Its formation energy is -1.08 eV/f.u. The calculation puts the magnetic moment at 0.00 μB per formula unit. As for the crystal system: monoclinic.

The structure in POSCAR format:
```
Tb4FeHg
1.0
4.299 -6.246 0.000
4.299 6.246 0.000
-1.635 0.000 5.919
Tb Fe Hg
8 2 2
Direct
0.059 0.732 0.961
0.204 0.367 0.595
0.268 0.941 0.539
0.367 0.204 0.095
0.633 0.796 0.905
0.732 0.059 0.461
0.796 0.633 0.405
0.941 0.268 0.039
0.002 0.998 0.750
0.998 0.002 0.250
0.372 0.628 0.250
0.628 0.372 0.750
```


Record 2
The following is a GGA-PBE calculation of an optimized crystal structure of HgHPtPb2, from Alexandria via LeMat-Bulk.

Summary:
The value obtained for the polymorph energy (0 for the lowest one) is 0.037 eV per atom. Its volume is 20.84 A^3/atom. The calculation puts the magnetic moment at 0.00 μB per formula unit. As for the crystal system: tetragonal.

The structure in POSCAR format:
```
HgHPtPb2
1.0
5.412 0.000 0.000
0.000 5.412 0.000
0.000 0.000 3.559
Hg H Pt Pb
1 1 1 2
Direct
0.000 0.000 0.000
0.500 0.500 0.500
0.500 0.500 0.000
0.000 0.500 0.500
0.500 0.000 0.500
```


Record 3
The following is a GGA-PBE calculation of an optimized crystal structure of Ho3Er5In, from Alexandria via LeMat-Bulk.

Summary:
Its volume is 35.38 A^3/atom. Its formation energy is 3.47 eV/f.u. The calculation puts the magnetic moment at 0.00 μB per formula unit. As for the crystal system: monoclinic.

The structure in POSCAR format:
```
Ho3Er5In
1.0
5.937 -5.650 0.000
5.937 5.650 0.000
-3.268 0.000 9.492
Ho Er In
6 10 2
Direct
0.000 0.000 0.000
0.002 0.002 0.315
0.497 0.497 0.828
0.500 0.500 0.500
0.503 0.503 0.172
0.998 0.998 0.685
0.059 0.574 0.709
0.233 0.767 0.500
0.238 0.238 0.558
0.250 0.250 0.909
0.426 0.941 0.291
0.574 0.059 0.709
0.750 0.750 0.091
0.762 0.762 0.442
0.767 0.233 0.500
0.941 0.426 0.291
0.265 0.265 0.233
0.735 0.735 0.767
```


Record 4
The following is a GGA-PBE calculation of an optimized crystal structure of Tm4HgPbSe2, from Alexandria via LeMat-Bulk.

Summary:
For the raw formation energy, the calculation gives -1.047 eV/atom. Its volume is 25.60 A^3/atom. The calculation puts the magnetic moment at 0.00 μB per formula unit. As for the crystal system: monoclinic.

The structure in POSCAR format:
```
Tm4HgPbSe2
1.0
6.816 0.000 0.000
0.000 3.919 0.000
-2.244 0.000 7.668
Tm Hg Pb Se
4 1 1 2
Direct
0.234 0.000 0.223
0.253 0.500 0.774
0.747 0.500 0.226
0.766 0.000 0.777
0.000 0.000 0.500
0.500 0.500 0.500
0.000 0.500 0.000
0.500 0.000 0.000
```


Record 5
The following is a GGA-PBE calculation of an optimized crystal structure of SrScPt2, from Alexandria via LeMat-Bulk.

Summary:
The value obtained for the polymorph energy (0 for the lowest one) is 0.229 eV per atom. Its volume is 24.14 A^3/atom. Its formation energy is -3.09 eV/f.u. The calculation puts the magnetic moment at 0.00 μB per formula unit. As for the crystal system: orthorhombic.

The structure in POSCAR format:
```
SrScPt2
1.0
-1.835 1.933 6.804
1.835 -1.933 6.804
1.835 1.933 -6.804
Sr Sc Pt
1 1 2
Direct
0.000 0.000 0.000
0.745 0.245 0.500
0.198 0.698 0.500
0.377 0.377 0.000
```


Record 6
The following is a GGA-PBE calculation of an optimized crystal structure of HoBiRhAu, from Alexandria via LeMat-Bulk.

Summary:
Its volume is 21.34 A^3/atom. Its formation energy is -1.97 eV/f.u. The calculation puts the magnetic moment at 0.00 μB per formula unit. As for the crystal system: cubic.

The structure in POSCAR format:
```
HoBiRhAu
1.0
0.000 3.495 3.495
3.495 0.000 3.495
3.495 3.495 0.000
Ho Bi Rh Au
1 1 1 1
Direct
0.000 0.000 0.000
0.500 0.500 0.500
0.250 0.250 0.250
0.750 0.750 0.750
```


Record 7
The following is a GGA-PBE calculation of an optimized crystal structure of LaSeBr, from Alexandria via LeMat-Bulk.

Summary:
For the raw formation energy, the calculation gives -1.944 eV/atom. Its volume is 31.11 A^3/atom. The calculation puts the magnetic moment at 0.00 μB per formula unit. As for the crystal system: cubic.

The structure in POSCAR format:
```
LaSeBr
1.0
0.000 3.600 3.600
3.600 0.000 3.600
3.600 3.600 0.000
La Se Br
1 1 1
Direct
0.000 0.000 0.000
0.250 0.250 0.250
0.750 0.750 0.750
```


Record 8
The following is a GGA-PBE calculation of an optimized crystal structure of KSrZn2, from Alexandria via LeMat-Bulk.

Summary:
The value obtained for the polymorph energy (0 for the lowest one) is 0.206 eV per atom. Its volume is 36.80 A^3/atom. Its formation energy is 0.97 eV/f.u. The calculation puts the magnetic moment at 0.00 μB per formula unit. As for the crystal system: tetragonal.

The structure in POSCAR format:
```
KSrZn2
1.0
-4.409 4.409 3.787
4.409 -4.409 3.787
4.409 4.409 -3.787
K Sr Zn
2 2 4
Direct
0.000 0.000 0.000
0.750 0.250 0.500
0.250 0.750 0.500
0.500 0.500 0.000
0.131 0.625 0.006
0.375 0.381 0.506
0.619 0.125 0.994
0.875 0.869 0.494
```